1.
Ba2BiPd (PBE, relaxed); size of the total moment = 0.000 μB per formula unit; calculated formation energy = -0.612 eV/atom; SG = P4/mmm, No. 123; total DFT energy (no corrections) = -3.84 eV per atom
1.0
-2.1854 -3.1947 0.9052
-0.6446 -0.6548 -3.8675
7.2494 -5.0587 -0.3518
Bi Pd Ba
1 1 2
Direct
0.5000 0.5000 0.5000
0.5000 0.5000 0.0000
0.0000 0.0000 0.7794
0.0000 0.0000 0.2206

=====

2.
BaBiPd3 (PBE, relaxed); size of the total moment = 0.000 μB per formula unit; calculated formation energy = -0.200 eV/atom; SG = Pm-3m, No. 221; total DFT energy (no corrections) = -4.48 eV per atom
1.0
-4.4710 0.5077 2.6294
-0.5876 -5.1784 0.0006
2.6127 -0.2959 4.4997
Bi Pd Ba
1 3 1
Direct
0.0000 0.0000 0.0000
0.0000 0.5000 0.0000
0.0000 0.0000 0.5000
0.5000 0.0000 0.0000
0.5000 0.5000 0.5000

=====

Question: Which formula does entry 2 have?
Answer: BaBiPd3

=====

Repeat the first record exactly.
Ba2BiPd (PBE, relaxed); size of the total moment = 0.000 μB per formula unit; calculated formation energy = -0.612 eV/atom; SG = P4/mmm, No. 123; total DFT energy (no corrections) = -3.84 eV per atom
1.0
-2.1854 -3.1947 0.9052
-0.6446 -0.6548 -3.8675
7.2494 -5.0587 -0.3518
Bi Pd Ba
1 1 2
Direct
0.5000 0.5000 0.5000
0.5000 0.5000 0.0000
0.0000 0.0000 0.7794
0.0000 0.0000 0.2206

=====

Question: total DFT energy (no corrections) of number 2 (BaBiPd3)?
Answer: -4.48 eV per atom

=====

Question: size of the total moment of number 2 (BaBiPd3)?
Answer: 0.000 μB per formula unit